## AcPr3YTm (PBE)

Data for crystalline AcPr3YTm at its relaxed geometry.

Calculated values
Magnetic moment in Bohr magnetons per cell: 0.00
Electronic total energy in eV for the cell shown: -58.3
DFT formation energy in eV per atom: 0.040
ρ in Mg/m³: 6.99
Fermi-level density of states in states/eV/f.u.: 10.2

a = 5.2642 Å, b = 8.2361 Å, c = 11.0729 Å
α = 116.03°, β = 90.00°, γ = 90.00°
Element x y z (fractional)
1 Ac 0.7500 0.8791 0.7059
2 Ac 0.2500 0.1209 0.2941
3 Pr 0.2500 0.6277 0.4539
4 Pr 0.7500 0.8681 0.0406
5 Pr 0.7500 0.3809 0.2078
6 Pr 0.7500 0.3723 0.5461
7 Pr 0.2500 0.6191 0.7922
8 Pr 0.2500 0.1319 0.9594
9 Y 0.2500 0.6208 0.1238
10 Y 0.7500 0.3792 0.8762
11 Tm 0.2500 0.1295 0.6275
12 Tm 0.7500 0.8705 0.3725



## Ac3Si5Te12 (PBE)

Data for crystalline Ac3Si5Te12 at its relaxed geometry.

Calculated values
Magnetic moment in Bohr magnetons per cell: 0.00
Electronic total energy in eV for the cell shown: -350.2
ρ in Mg/m³: 5.75
Fermi-level density of states in states/eV/f.u.: 6.1

a = 15.2242 Å, b = 15.2242 Å, c = 15.2242 Å
α = 109.47°, β = 109.47°, γ = 109.47°
Element x y z (fractional)
1 Ac 0.7500 0.3750 0.1250
2 Ac 0.8750 0.7500 0.1250
3 Ac 0.3750 0.7500 0.6250
4 Ac 0.2500 0.1250 0.3750
5 Ac 0.8750 0.1250 0.2500
6 Ac 0.3750 0.6250 0.2500
7 Ac 0.6250 0.3750 0.7500
8 Ac 0.1250 0.8750 0.7500
9 Ac 0.7500 0.8750 0.6250
10 Ac 0.6250 0.2500 0.3750
11 Ac 0.1250 0.2500 0.8750
12 Ac 0.2500 0.6250 0.8750
13 Si 0.1250 0.3750 0.2500
14 Si 0.0000 0.5000 0.0000
15 Si 0.0000 0.0000 0.0000
16 Si 0.3750 0.2500 0.1250
17 Si 0.5000 0.0000 0.5000
18 Si 0.5000 0.5000 0.0000
19 Si 0.1250 0.7500 0.3750
20 Si 0.7500 0.1250 0.8750
21 Si 0.7500 0.6250 0.3750
22 Si 0.3750 0.1250 0.7500
23 Si 0.6250 0.8750 0.2500
24 Si 0.5000 0.5000 0.5000
25 Si 0.5000 0.0000 0.0000
26 Si 0.0000 0.0000 0.5000
27 Si 0.2500 0.3750 0.6250
28 Si 0.2500 0.8750 0.1250
29 Si 0.0000 0.5000 0.5000
30 Si 0.8750 0.2500 0.6250
31 Si 0.6250 0.7500 0.8750
32 Si 0.8750 0.6250 0.7500
33 Te 0.7048 0.1177 0.0239
34 Te 0.3191 0.5239 0.4062
35 Te 0.9761 0.3823 0.2952
36 Te 0.5239 0.2048 0.1177
37 Te 0.5871 0.7048 0.6809
38 Te 0.9761 0.5938 0.1809
39 Te 0.3191 0.7952 0.4129
40 Te 0.0938 0.9129 0.1177
41 Te 0.5938 0.9761 0.6809
42 Te 0.7048 0.5871 0.1809
43 Te 0.7952 0.4761 0.3823
44 Te 0.8191 0.9062 0.0239
45 Te 0.1177 0.7048 0.5239
46 Te 0.3823 0.4062 0.0871
47 Te 0.0871 0.9062 0.3823
48 Te 0.4129 0.1177 0.5938
49 Te 0.0871 0.1809 0.2048
50 Te 0.4761 0.6809 0.0938
51 Te 0.8191 0.9129 0.2952
52 Te 0.1177 0.4129 0.0938
53 Te 0.3823 0.9761 0.7952
54 Te 0.5938 0.6177 0.4129
55 Te 0.9062 0.8191 0.5239
56 Te 0.7952 0.3191 0.9129
57 Te 0.4062 0.3823 0.5871
58 Te 0.0938 0.1809 0.4761
59 Te 0.2048 0.6809 0.0871
60 Te 0.1809 0.0871 0.7048
61 Te 0.6177 0.0239 0.2048
62 Te 0.8823 0.5871 0.9062
63 Te 0.5239 0.3191 0.9062
64 Te 0.5871 0.8823 0.4062
65 Te 0.9129 0.8191 0.7952
66 Te 0.9129 0.0938 0.6177
67 Te 0.8823 0.2952 0.4761
68 Te 0.1809 0.0938 0.9761
69 Te 0.6177 0.5938 0.9129
70 Te 0.4062 0.0239 0.3191
71 Te 0.2952 0.4129 0.8191
72 Te 0.2048 0.5239 0.6177
73 Te 0.9062 0.0871 0.8823
74 Te 0.6809 0.2048 0.5871
75 Te 0.4761 0.7952 0.8823
76 Te 0.0239 0.4062 0.8191
77 Te 0.4129 0.2952 0.3191
78 Te 0.0239 0.6177 0.7048
79 Te 0.6809 0.4761 0.5938
80 Te 0.2952 0.8823 0.9761



## PmNd2USb4 (PBE)

Data for crystalline PmNd2USb4 at its relaxed geometry.

Calculated values
Magnetic moment in Bohr magnetons per cell: 2.69
Electronic total energy in eV for the cell shown: -49.5
ρ in Mg/m³: 7.57
Fermi-level density of states in states/eV/f.u.: 6.4

a = 6.3347 Å, b = 6.3347 Å, c = 7.7482 Å
α = 113.95°, β = 113.95°, γ = 90.41°
Element x y z (fractional)
1 Pm 0.5000 0.5000 0.0000
2 Nd 0.2500 0.7500 0.5000
3 Nd 0.0000 0.0000 0.0000
4 U 0.7500 0.2500 0.5000
5 Sb 0.9945 0.4945 0.9890
6 Sb 0.5055 0.0055 0.0110
7 Sb 0.7493 0.7493 0.4986
8 Sb 0.2507 0.2507 0.5014



## Al2CoSb (PBE)

Data for crystalline Al2CoSb at its relaxed geometry.

Calculated values
Magnetic moment in Bohr magnetons per cell: 0.00
Electronic total energy in eV for the cell shown: -18.1
ρ in Mg/m³: 6.03
Fermi-level density of states in states/eV/f.u.: 1.5

a = 4.9909 Å, b = 4.9909 Å, c = 4.9909 Å
α = 133.33°, β = 133.33°, γ = 68.14°
Element x y z (fractional)
1 Sb 0.7500 0.2500 0.5000
2 Co 0.2500 0.7500 0.5000
3 Al 0.0000 0.0000 0.0000
4 Al 0.5000 0.5000 0.0000



## AgPH2 (PBE)

Data for crystalline AgPH2 at its relaxed geometry.

Calculated values
Magnetic moment in Bohr magnetons per cell: 0.00
Energy above the most stable polymorph in this dataset in meV per atom: 913
Electronic total energy in eV for the cell shown: -11.1
ρ in Mg/m³: 5.68
Fermi-level density of states in states/eV/f.u.: 1.7

a = 3.8766 Å, b = 3.8766 Å, c = 3.8766 Å
α = 60.00°, β = 60.00°, γ = 60.00°
Element x y z (fractional)
1 P 0.0000 0.0000 0.0000
2 Ag 0.5000 0.5000 0.5000
3 H 0.2500 0.2500 0.2500
4 H 0.7500 0.7500 0.7500



## Ac2PuCo2N6 (PBE)

Data for crystalline Ac2PuCo2N6 at its relaxed geometry.

Calculated values
Magnetic moment in Bohr magnetons per cell: 5.08
Electronic total energy in eV for the cell shown: -93.0
ρ in Mg/m³: 9.20
Fermi-level density of states in states/eV/f.u.: 6.8

a = 5.8778 Å, b = 5.8778 Å, c = 6.4011 Å
α = 62.67°, β = 62.67°, γ = 60.00°
Element x y z (fractional)
1 Ac 0.7744 0.7744 0.6767
2 Ac 0.2256 0.2256 0.3233
3 Pu 0.0000 0.0000 0.0000
4 Co 0.4297 0.4297 0.7108
5 Co 0.5703 0.5703 0.2892
6 N 0.7559 0.7559 0.2466
7 N 0.2415 0.7559 0.2466
8 N 0.7559 0.2415 0.2466
9 N 0.2441 0.7585 0.7534
10 N 0.7585 0.2441 0.7534
11 N 0.2441 0.2441 0.7534



## Os2RhCl (PBE)

Data for crystalline Os2RhCl at its relaxed geometry.

Calculated values
Magnetic moment in Bohr magnetons per cell: 0.00
Energy above the most stable polymorph in this dataset in meV per atom: 623
Electronic total energy in eV for the cell shown: -27.4
ρ in Mg/m³: 14.31
Fermi-level density of states in states/eV/f.u.: 5.7

a = 2.7475 Å, b = 4.6448 Å, c = 4.7183 Å
α = 90.00°, β = 90.00°, γ = 90.00°
Element x y z (fractional)
1 Cl 0.0000 0.5000 0.5000
2 Os 0.0000 0.0000 0.0000
3 Os 0.5000 0.5000 0.0000
4 Rh 0.5000 0.0000 0.5000



## SrSnSe2 (PBE)

Data for crystalline SrSnSe2 at its relaxed geometry.

Calculated values
Magnetic moment in Bohr magnetons per cell: 0.00
Electronic total energy in eV for the cell shown: -17.2
ρ in Mg/m³: 5.03

a = 4.3112 Å, b = 4.3112 Å, c = 7.8792 Å
α = 74.12°, β = 74.12°, γ = 60.00°
Element x y z (fractional)
1 Sr 0.4989 0.4989 0.5032
2 Sn 0.6674 0.6674 0.9978
3 Se 0.0807 0.0807 0.7580
4 Se 0.2530 0.2530 0.2409



## TbCuBi2S5 (PBE)

Data for crystalline TbCuBi2S5 at its relaxed geometry.

Calculated values
Magnetic moment in Bohr magnetons per cell: 0.00
Electronic total energy in eV for the cell shown: -88.3
ρ in Mg/m³: 5.90

a = 3.9595 Å, b = 9.5596 Å, c = 12.1782 Å
α = 90.00°, β = 90.00°, γ = 101.95°
Element x y z (fractional)
1 Tb 0.7990 0.5980 0.5080
2 Tb 0.2010 0.4020 0.0080
3 Cu 0.5702 0.1403 0.9596
4 Cu 0.4298 0.8597 0.4596
5 Bi 0.9121 0.8242 0.7675
6 Bi 0.1497 0.2994 0.6779
7 Bi 0.0879 0.1758 0.2675
8 Bi 0.8503 0.7006 0.1779
9 S 0.3493 0.6986 0.0260
10 S 0.6811 0.3623 0.8607
11 S 0.5057 0.0113 0.7976
12 S 0.2903 0.5807 0.6689
13 S 0.9437 0.8874 0.5578
14 S 0.6507 0.3014 0.5260
15 S 0.3189 0.6377 0.3607
16 S 0.4943 0.9887 0.2976
17 S 0.7097 0.4193 0.1689
18 S 0.0563 0.1126 0.0578



## Li2CdP (PBE)

Data for crystalline Li2CdP at its relaxed geometry.

Calculated values
Magnetic moment in Bohr magnetons per cell: 0.00
Electronic total energy in eV for the cell shown: -11.5
DFT formation energy in eV per atom: -0.331
ρ in Mg/m³: 4.09
Fermi-level density of states in states/eV/f.u.: 1.4

a = 4.0394 Å, b = 3.9747 Å, c = 3.9747 Å
α = 90.00°, β = 90.00°, γ = 90.00°
Element x y z (fractional)
1 Cd 0.5000 0.0000 0.5000
2 Li 0.0000 0.0000 0.0000
3 Li 0.0000 0.5000 0.5000
4 P 0.5000 0.5000 0.0000



## PtSe2NCl (PBE)

Data for crystalline PtSe2NCl at its relaxed geometry.

Calculated values
Magnetic moment in Bohr magnetons per cell: 0.00
Energy above the most stable polymorph in this dataset in meV per atom: 857
Electronic total energy in eV for the cell shown: -15.1
ρ in Mg/m³: 7.66
Fermi-level density of states in states/eV/f.u.: 2.8

a = 5.1613 Å, b = 5.1613 Å, c = 3.2766 Å
α = 90.00°, β = 90.00°, γ = 90.00°
Element x y z (fractional)
1 N 0.0000 0.0000 0.5000
2 Se 0.0000 0.5000 0.0000
3 Se 0.5000 0.0000 0.0000
4 Pt 0.5000 0.5000 0.5000
5 Cl 0.0000 0.0000 0.0000



## YZrAu3 (PBE)

Data for crystalline YZrAu3 at its relaxed geometry.

Calculated values
Magnetic moment in Bohr magnetons per cell: 1.65
Energy above the most stable polymorph in this dataset in meV per atom: 437
Electronic total energy in eV for the cell shown: -21.9
DFT formation energy in eV per atom: 0.582
ρ in Mg/m³: 9.08
Fermi-level density of states in states/eV/f.u.: 2.8

a = 5.2050 Å, b = 5.2050 Å, c = 5.2050 Å
α = 90.00°, β = 90.00°, γ = 90.00°
Element x y z (fractional)
1 Y 0.0000 0.0000 0.0000
2 Au 0.0000 0.5000 0.0000
3 Au 0.0000 0.0000 0.5000
4 Au 0.5000 0.0000 0.0000
5 Zr 0.5000 0.5000 0.5000